1.
# ScTiPt6

A relaxed structure of ScTiPt6 (PBE, the Alexandria database).

Output
Energy relative to the elements, eV per atom: -0.987
Space group: P4/mmm (123)
DFT total energy, eV/f.u.: -58.37
Density, g cm⁻³: 16.7

Geometry as POSCAR:
```
ScTiPt6
1.0
-1.336 3.437 -1.490
-0.158 -1.632 -3.623
-7.492 -2.318 1.371
Pt Sc Ti
6 1 1
Direct
0.500 0.000 0.743 Pt
0.500 0.500 0.000 Pt
0.500 0.500 0.500 Pt
0.000 0.500 0.743 Pt
0.500 0.000 0.257 Pt
0.000 0.500 0.257 Pt
0.000 0.000 0.000 Sc
0.000 0.000 0.500 Ti
```


2.
# Li4LaPt2

A relaxed structure of Li4LaPt2 (PBE, the Alexandria database).

Output
Energy relative to the elements, eV per atom: -0.614
Space group: P4_2/mnm (136)
DFT total energy, eV/f.u.: -28.96
Density, g cm⁻³: 7.3

Geometry as POSCAR:
```
Li4LaPt2
1.0
-3.948 0.429 1.285
-2.027 -6.260 -4.136
1.502 -4.536 6.130
Li Pt La
8 4 2
Direct
0.000 0.902 0.651 Li
0.000 0.349 0.098 Li
0.500 0.598 0.151 Li
0.000 0.098 0.349 Li
0.500 0.151 0.598 Li
0.500 0.849 0.402 Li
0.500 0.402 0.849 Li
0.000 0.651 0.902 Li
0.000 0.206 0.794 Pt
0.000 0.794 0.206 Pt
0.500 0.706 0.706 Pt
0.500 0.294 0.294 Pt
0.500 0.000 0.000 La
0.000 0.500 0.500 La
```


3.
# Ti2BeCl2

A relaxed structure of Ti2BeCl2 (PBE, the Alexandria database).

Output
Formation energy from raw total energies, eV/atom: -0.015
Space group: I4/mmm (139)
DFT total energy, eV/f.u.: -23.28
Density, g cm⁻³: 3.2

Geometry as POSCAR:
```
Ti2BeCl2
1.0
-2.605 1.534 -2.587
2.164 -1.422 -3.022
-3.239 -4.834 -2.666
Be Ti Cl
1 2 2
Direct
0.000 0.000 0.000 Be
0.390 0.390 0.221 Ti
0.610 0.610 0.779 Ti
0.750 0.250 0.500 Cl
0.250 0.750 0.500 Cl
```


4.
# GaRe2Hg

A relaxed structure of GaRe2Hg (PBE, the Alexandria database).

Output
Energy relative to the elements, eV per atom: 0.883
Space group: Fm-3m (225)
DFT total energy, eV/f.u.: -24.69
Density, g cm⁻³: 16.6

Geometry as POSCAR:
```
GaRe2Hg
1.0
0.000 3.178 3.178
3.178 0.000 3.178
3.178 3.178 0.000
Re Hg Ga
2 1 1
Direct
0.250 0.250 0.250 Re
0.750 0.750 0.750 Re
0.500 0.500 0.500 Hg
0.000 0.000 0.000 Ga
```


5.
# MgAlCu2

A relaxed structure of MgAlCu2 (PBE, the Alexandria database).

Output
Energy relative to the elements, eV per atom: -0.081
Space group: P4mm (99)
DFT total energy, eV/f.u.: -13.85
Density, g cm⁻³: 5.0

Geometry as POSCAR:
```
MgAlCu2
1.0
-2.973 0.358 -1.042
0.193 -2.783 -1.506
-2.015 -2.742 4.808
Cu Mg Al
2 1 1
Direct
0.500 0.500 0.226 Cu
0.000 0.000 0.004 Cu
0.000 0.000 0.477 Mg
0.500 0.500 0.793 Al
```


6.
# Cs3Li2HoI8

A relaxed structure of Cs3Li2HoI8 (PBE, the Alexandria database).

Output
Formation energy from raw total energies, eV/atom: -1.375
Space group: P-3m1 (164)
DFT total energy, eV/f.u.: -42.61
Density, g cm⁻³: 3.9

Geometry as POSCAR:
```
Cs3Li2HoI8
1.0
-8.342 1.096 1.219
5.099 -1.536 6.627
1.587 10.688 1.255
Cs I Ho Li
3 8 1 2
Direct
0.000 0.000 0.000 Cs
0.667 0.333 0.365 Cs
0.333 0.667 0.635 Cs
0.333 0.667 0.970 I
0.836 0.164 0.666 I
0.672 0.836 0.334 I
0.836 0.672 0.666 I
0.164 0.836 0.334 I
0.164 0.328 0.334 I
0.328 0.164 0.666 I
0.667 0.333 0.030 I
0.000 0.000 0.500 Ho
0.667 0.333 0.793 Li
0.333 0.667 0.207 Li
```


DOS at the Fermi energy, record by record: 4.3; 6.1; 3.8; 5.2; 2.0; 0.0 states/eV/cell